[1]
Compound: NaSrMg2Ag
Source: Alexandria
Functional: PBE-GGA
Structure: relaxed

Distance to the lowest polymorph of the same formula = 17 meV per atom
Space group = P4/mmm, No. 123
ρ = 2.6 g/cm3
Size of the total moment = 0.000 μB/f.u.
DOS(E_F) = 0.67 states/eV/atom
Energy of formation = 0.04 eV per atom
Raw total energy = -1.768 eV/atom
Volume = 170.6 Å³/f.u.

Structure (POSCAR):
```
NaSrMg2Ag
1.0
-4.4958 2.3077 1.7300
-1.7226 -4.7182 1.8171
2.5893 1.0874 5.2785
Mg Sr Na Ag
2 1 1 1
direct
0.0000 0.5000 0.0000 Mg
0.5000 0.0000 0.0000 Mg
0.0000 0.0000 0.5000 Sr
0.5000 0.5000 0.5000 Na
0.0000 0.0000 0.0000 Ag
```



[2]
Compound: VAsSe3
Source: Alexandria
Functional: PBE-GGA
Structure: relaxed

Distance to the lowest polymorph of the same formula = 0 meV per atom
Space group = Pm-3m, No. 221
ρ = 5.4 g/cm3
Size of the total moment = 1.649 μB/f.u.
Formation energy from raw total energies = 117 kJ/mol of formula units
DOS(E_F) = 1.16 states/eV/atom
Raw total energy = -4.602 eV/atom
Volume = 112.5 Å³/f.u.

Structure (POSCAR):
```
VAsSe3
1.0
4.8271 0.0000 0.0000
0.0000 4.8271 0.0000
0.0000 0.0000 4.8271
Se V As
3 1 1
direct
0.0000 0.0000 0.5000 Se
0.0000 0.5000 0.0000 Se
0.5000 0.0000 0.0000 Se
0.0000 0.0000 0.0000 V
0.5000 0.5000 0.5000 As
```



[3]
Compound: Ba2PtI2
Source: Alexandria
Functional: PBE-GGA
Structure: relaxed

Space group = Ibam, No. 72
ρ = 5.4 g/cm3
Size of the total moment = 0.000 μB/f.u.
Formation energy from raw total energies = -609 kJ/mol of formula units
Raw total energy = -3.860 eV/atom
Volume = 220.6 Å³/f.u.

Structure (POSCAR):
```
Ba2PtI2
1.0
-2.2645 -0.4263 -6.8491
1.6615 -8.6354 -0.0118
-6.1598 3.2846 5.6444
Ba I Pt
4 4 2
direct
0.3930 0.6126 0.7859 Ba
0.6070 0.3874 0.2141 Ba
0.8930 0.1733 0.7859 Ba
0.1070 0.8267 0.2141 Ba
0.1414 0.2794 0.2828 I
0.6414 0.0035 0.2828 I
0.8586 0.7206 0.7172 I
0.3586 0.9965 0.7172 I
0.7500 0.5000 0.0000 Pt
0.2500 0.5000 0.0000 Pt
```



[4]
Compound: SbTeSe2Br
Source: Alexandria
Functional: PBE-GGA
Structure: relaxed

Distance to the lowest polymorph of the same formula = 0 meV per atom
Space group = P4/mmm, No. 123
ρ = 5.2 g/cm3
Size of the total moment = 0.000 μB/f.u.
Formation energy from raw total energies = 185 kJ/mol of formula units
DOS(E_F) = 0.82 states/eV/atom
Raw total energy = -2.797 eV/atom
Volume = 156.7 Å³/f.u.

Structure (POSCAR):
```
SbTeSe2Br
1.0
5.4269 0.0000 0.0000
0.0000 5.4269 0.0000
0.0000 0.0000 5.3207
Se Br Sb Te
2 1 1 1
direct
0.0000 0.5000 0.0000 Se
0.5000 0.0000 0.0000 Se
0.0000 0.0000 0.5000 Br
0.0000 0.0000 0.0000 Sb
0.5000 0.5000 0.5000 Te
```



[5]
Compound: La3P2H
Source: Alexandria
Functional: PBE-GGA
Structure: relaxed

Distance to the lowest polymorph of the same formula = 0 meV per atom
Space group = C2/c, No. 15
ρ = 5.2 g/cm3
Size of the total moment = 0.000 μB/f.u.
DOS(E_F) = 0.53 states/eV/atom
Raw total energy = -5.997 eV/atom
Volume = 152.7 Å³/f.u.

Structure (POSCAR):
```
La3P2H
1.0
5.8907 0.0000 0.0000
0.0000 8.3423 0.0033
-2.9454 -2.0863 6.2138
P La H
4 6 2
direct
0.3323 0.4163 0.6645 P
0.3323 0.9163 0.6645 P
0.6677 0.5837 0.3355 P
0.6677 0.0837 0.3355 P
0.8299 0.4148 0.6598 La
0.4966 0.2500 0.0000 La
0.1701 0.0852 0.3402 La
0.1701 0.5852 0.3402 La
0.8299 0.9148 0.6598 La
0.5034 0.7500 0.0000 La
0.9915 0.7500 0.0000 H
0.0085 0.2500 0.0000 H
```



[6]
Compound: ScVTc4
Source: Alexandria
Functional: PBE-GGA
Structure: relaxed

Space group = F-43m, No. 216
ρ = 8.4 g/cm3
Size of the total moment = 0.002 μB/f.u.
DOS(E_F) = 1.56 states/eV/atom
Energy of formation = -0.01 eV per atom
Raw total energy = -9.500 eV/atom
Volume = 97.0 Å³/f.u.

Structure (POSCAR):
```
ScVTc4
1.0
5.1567 0.0000 0.0000
2.5784 4.4658 0.0000
2.5784 1.4886 4.2104
Tc V Sc
4 1 1
direct
0.6247 0.6247 0.1258 Tc
0.6247 0.6247 0.6247 Tc
0.6247 0.1258 0.6247 Tc
0.1258 0.6247 0.6247 Tc
0.2500 0.2500 0.2500 V
0.0000 0.0000 0.0000 Sc
```



What is the ρ in the first record?
2.6 g/cm3



Look up the size of the total moment of the second one.
1.649 μB/f.u.



Which formula does entry 2 have?
VAsSe3



Look up the ρ of the fourth one.
5.2 g/cm3